The following is a SCAN calculation of a crystal of Be2WCl relaxed with PBEsol, from Alexandria.

* crystal system: trigonal
* formation energy from raw total energies: 294 meV per atom
* relative energy among the computed polymorphs: 0.000 eV per formula unit

CIF file:
```
data_Be2WCl
_cell_length_a 2.8665
_cell_length_b 2.8665
_cell_length_c 21.6927
_cell_angle_alpha 90.00
_cell_angle_beta 90.00
_cell_angle_gamma 120.00
_symmetry_space_group_name_H-M 'R -3 m'
_symmetry_Int_Tables_number 166
_symmetry_space_group_name_Hall '-R 3 2"'
loop_
_atom_site_label
_atom_site_fract_x
_atom_site_fract_y
_atom_site_fract_z
_atom_site_occupancy
Be1 0.0000 0.0000 0.2455 1
W1 0.0000 0.0000 0.0000 1
Cl1 0.0000 0.0000 0.5000 1
```

The following is a SCAN calculation of a crystal of IrRh3 relaxed with PBEsol, from Alexandria.

* crystal system: hexagonal
* energy of formation from the pure elements: 0.2 eV per formula unit

CIF file:
```
data_IrRh3
_cell_length_a 2.6879
_cell_length_b 2.6879
_cell_length_c 8.7349
_cell_angle_alpha 90.00
_cell_angle_beta 90.00
_cell_angle_gamma 120.00
_symmetry_space_group_name_H-M 'P -6 m 2'
_symmetry_Int_Tables_number 187
_symmetry_space_group_name_Hall 'P -6 2'
loop_
_atom_site_label
_atom_site_fract_x
_atom_site_fract_y
_atom_site_fract_z
_atom_site_occupancy
Ir1 0.0000 0.0000 0.0000 1
Rh1 0.0000 0.0000 0.5000 1
Rh2 0.6667 0.3333 0.2502 1
```

The following is a SCAN calculation of a crystal of NiGeP2O relaxed with PBEsol, from Alexandria.

* crystal system: tetragonal
* formation energy from raw total energies: 250 meV per atom

CIF file:
```
data_NiGeP2O
_cell_length_a 4.5811
_cell_length_b 4.5811
_cell_length_c 3.4240
_cell_angle_alpha 90.00
_cell_angle_beta 90.00
_cell_angle_gamma 90.00
_symmetry_space_group_name_H-M 'P 4/m m m'
_symmetry_Int_Tables_number 123
_symmetry_space_group_name_Hall '-P 4 2'
loop_
_atom_site_label
_atom_site_fract_x
_atom_site_fract_y
_atom_site_fract_z
_atom_site_occupancy
Ni1 0.0000 0.0000 0.0000 1
Ge1 0.5000 0.5000 0.5000 1
P1 0.0000 0.5000 0.0000 1
O1 0.0000 0.0000 0.5000 1
```

The following is a SCAN calculation of a crystal of CdFeHgCl2 relaxed with PBEsol, from Alexandria.

* crystal system: tetragonal
* formation energy from raw total energies: 133 meV per atom

CIF file:
```
data_CdFeHgCl2
_cell_length_a 5.0132
_cell_length_b 5.0132
_cell_length_c 5.6746
_cell_angle_alpha 90.00
_cell_angle_beta 90.00
_cell_angle_gamma 90.00
_symmetry_space_group_name_H-M 'P 4/m m m'
_symmetry_Int_Tables_number 123
_symmetry_space_group_name_Hall '-P 4 2'
loop_
_atom_site_label
_atom_site_fract_x
_atom_site_fract_y
_atom_site_fract_z
_atom_site_occupancy
Cd1 0.0000 0.0000 0.0000 1
Fe1 0.5000 0.5000 0.5000 1
Hg1 0.0000 0.0000 0.5000 1
Cl1 0.0000 0.5000 0.0000 1
```

The following is a SCAN calculation of a crystal of TcPbSe relaxed with PBEsol, from Alexandria.

* crystal system: hexagonal
* formation energy from raw total energies: 480 meV per atom

CIF file:
```
data_TcPbSe
_cell_length_a 4.4096
_cell_length_b 4.4096
_cell_length_c 3.4524
_cell_angle_alpha 90.00
_cell_angle_beta 90.00
_cell_angle_gamma 120.00
_symmetry_space_group_name_H-M 'P -6 m 2'
_symmetry_Int_Tables_number 187
_symmetry_space_group_name_Hall 'P -6 2'
loop_
_atom_site_label
_atom_site_fract_x
_atom_site_fract_y
_atom_site_fract_z
_atom_site_occupancy
Tc1 0.0000 0.0000 0.0000 1
Pb1 0.6667 0.3333 0.5000 1
Se1 0.3333 0.6667 0.0000 1
```

The following is a SCAN calculation of a crystal of Ba2OsSe relaxed with PBEsol, from Alexandria.

* crystal system: orthorhombic
* formation energy from raw total energies: -191 meV per atom

CIF file:
```
data_Ba2OsSe
_cell_length_a 3.7575
_cell_length_b 5.0104
_cell_length_c 11.9553
_cell_angle_alpha 90.00
_cell_angle_beta 90.00
_cell_angle_gamma 90.00
_symmetry_space_group_name_H-M 'I m m 2'
_symmetry_Int_Tables_number 44
loop_
_symmetry_equiv_pos_as_xyz
'x,y,z'
'-x,-y,z'
'-x,y,z'
'x,-y,z'
'x+1/2,y+1/2,z+1/2'
'-x+1/2,-y+1/2,z+1/2'
'-x+1/2,y+1/2,z+1/2'
'x+1/2,-y+1/2,z+1/2'
loop_
_atom_site_label
_atom_site_fract_x
_atom_site_fract_y
_atom_site_fract_z
_atom_site_occupancy
Ba1 0.0000 0.0000 0.0000 1
Ba2 0.0000 0.5000 0.2209 1
Os1 0.0000 0.5000 0.7743 1
Se1 0.0000 0.0000 0.4075 1
```

The following is a SCAN calculation of a crystal of AlZnTe2 relaxed with PBEsol, from Alexandria.

* crystal system: tetragonal
* formation energy from raw total energies: 130 meV per atom
* relative energy among the computed polymorphs: 0.440 eV per formula unit

CIF file:
```
data_AlZnTe2
_cell_length_a 3.9471
_cell_length_b 3.9471
_cell_length_c 12.5035
_cell_angle_alpha 90.00
_cell_angle_beta 90.00
_cell_angle_gamma 90.00
_symmetry_space_group_name_H-M 'I -4 m 2'
_symmetry_Int_Tables_number 119
_symmetry_space_group_name_Hall 'I -4 -2'
loop_
_atom_site_label
_atom_site_fract_x
_atom_site_fract_y
_atom_site_fract_z
_atom_site_occupancy
Al1 0.0000 0.0000 0.0000 1
Zn1 0.0000 0.5000 0.7500 1
Te1 0.0000 0.0000 0.5000 1
Te2 0.0000 0.5000 0.2500 1
```

The following is a SCAN calculation of a crystal of SrCaMg2 relaxed with PBEsol, from Alexandria.

* crystal system: orthorhombic
* energy of formation from the pure elements: -0.1 eV per formula unit

CIF file:
```
data_SrCaMg2
_cell_length_a 3.9196
_cell_length_b 5.8117
_cell_length_c 11.5795
_cell_angle_alpha 90.00
_cell_angle_beta 90.00
_cell_angle_gamma 90.00
_symmetry_space_group_name_H-M 'I m m 2'
_symmetry_Int_Tables_number 44
loop_
_symmetry_equiv_pos_as_xyz
'x,y,z'
'-x,-y,z'
'-x,y,z'
'x,-y,z'
'x+1/2,y+1/2,z+1/2'
'-x+1/2,-y+1/2,z+1/2'
'-x+1/2,y+1/2,z+1/2'
'x+1/2,-y+1/2,z+1/2'
loop_
_atom_site_label
_atom_site_fract_x
_atom_site_fract_y
_atom_site_fract_z
_atom_site_occupancy
Sr1 0.0000 0.0000 0.0000 1
Ca1 0.0000 0.5000 0.7893 1
Mg1 0.0000 0.0000 0.5388 1
Mg2 0.0000 0.5000 0.2405 1
```

The following is a SCAN calculation of a crystal of KCaSb2 relaxed with PBEsol, from Alexandria.

* crystal system: orthorhombic
* formation energy from raw total energies: -695 meV per atom
* relative energy among the computed polymorphs: 0.000 eV per formula unit

CIF file:
```
data_KCaSb2
_cell_length_a 3.4619
_cell_length_b 4.6416
_cell_length_c 7.4418
_cell_angle_alpha 90.00
_cell_angle_beta 90.00
_cell_angle_gamma 90.00
_symmetry_space_group_name_H-M 'P m m m'
_symmetry_Int_Tables_number 47
loop_
_symmetry_equiv_pos_as_xyz
'x,y,z'
'-x,-y,-z'
'-x,-y,z'
'x,y,-z'
'x,-y,-z'
'-x,y,z'
'-x,y,-z'
'x,-y,z'
loop_
_atom_site_label
_atom_site_fract_x
_atom_site_fract_y
_atom_site_fract_z
_atom_site_occupancy
K1 0.0000 0.0000 0.0000 1
Ca1 0.0000 0.0000 0.5000 1
Sb1 0.5000 0.5000 0.2923 1
```

The following is a SCAN calculation of a crystal of LiCu relaxed with PBEsol, from Alexandria.

* crystal system: orthorhombic
* energy of formation from the pure elements: 0.0 eV per formula unit

CIF file:
```
data_LiCu
_cell_length_a 2.5238
_cell_length_b 4.1858
_cell_length_c 4.6600
_cell_angle_alpha 90.00
_cell_angle_beta 90.00
_cell_angle_gamma 90.00
_symmetry_space_group_name_H-M 'P m m n'
_symmetry_Int_Tables_number 59
loop_
_symmetry_equiv_pos_as_xyz
'x,y,z'
'-x,-y,-z'
'-x+1/2,-y+1/2,z'
'x+1/2,y+1/2,-z'
'x+1/2,-y,-z'
'-x+1/2,y,z'
'-x,y+1/2,-z'
'x,-y+1/2,z'
loop_
_atom_site_label
_atom_site_fract_x
_atom_site_fract_y
_atom_site_fract_z
_atom_site_occupancy
Li1 0.2500 0.2500 0.1052 1
Cu1 0.2500 0.7500 0.4186 1
```

The following is a SCAN calculation of a crystal of Mn2TlCr relaxed with PBEsol, from Alexandria.

* crystal system: orthorhombic
* energy of formation from the pure elements: 0.8 eV per formula unit
* relative energy among the computed polymorphs: 0.302 eV per formula unit

CIF file:
```
data_Mn2TlCr
_cell_length_a 5.5739
_cell_length_b 7.1864
_cell_length_c 2.9276
_cell_angle_alpha 90.00
_cell_angle_beta 90.00
_cell_angle_gamma 90.00
_symmetry_space_group_name_H-M 'C m m m'
_symmetry_Int_Tables_number 65
_symmetry_space_group_name_Hall '-C 2 2'
loop_
_atom_site_label
_atom_site_fract_x
_atom_site_fract_y
_atom_site_fract_z
_atom_site_occupancy
Mn1 0.2500 0.2500 0.0000 1
Tl1 0.0000 0.0000 0.5000 1
Cr1 0.0000 0.5000 0.5000 1
```

The following is a SCAN calculation of a crystal of FeHgTeN2 relaxed with PBEsol, from Alexandria.

* crystal system: tetragonal
* formation energy from raw total energies: 1005 meV per atom

CIF file:
```
data_FeHgTeN2
_cell_length_a 3.7667
_cell_length_b 3.7667
_cell_length_c 5.4036
_cell_angle_alpha 90.00
_cell_angle_beta 90.00
_cell_angle_gamma 90.00
_symmetry_space_group_name_H-M 'P 4/m m m'
_symmetry_Int_Tables_number 123
_symmetry_space_group_name_Hall '-P 4 2'
loop_
_atom_site_label
_atom_site_fract_x
_atom_site_fract_y
_atom_site_fract_z
_atom_site_occupancy
Fe1 0.0000 0.0000 0.0000 1
Hg1 0.5000 0.5000 0.5000 1
Te1 0.0000 0.0000 0.5000 1
N1 0.0000 0.5000 0.0000 1
```

The following is a SCAN calculation of a crystal of ZrCuTe2 relaxed with PBEsol, from Alexandria.

* crystal system: orthorhombic
* formation energy from raw total energies: -643 meV per atom

CIF file:
```
data_ZrCuTe2
_cell_length_a 3.9262
_cell_length_b 3.8555
_cell_length_c 11.3274
_cell_angle_alpha 90.00
_cell_angle_beta 90.00
_cell_angle_gamma 90.00
_symmetry_space_group_name_H-M 'A m m 2'
_symmetry_Int_Tables_number 38
loop_
_symmetry_equiv_pos_as_xyz
'x,y,z'
'-x,-y,z'
'-x,y,z'
'x,-y,z'
'x,y+1/2,z+1/2'
'-x,-y+1/2,z+1/2'
'-x,y+1/2,z+1/2'
'x,-y+1/2,z+1/2'
loop_
_atom_site_label
_atom_site_fract_x
_atom_site_fract_y
_atom_site_fract_z
_atom_site_occupancy
Zr1 0.0000 0.0000 0.0000 1
Cu1 0.5000 0.0000 0.1787 1
Te1 0.0000 0.0000 0.6947 1
Te2 0.5000 0.0000 0.4101 1
```

The following is a SCAN calculation of a crystal of Be2HIr2 relaxed with PBEsol, from Alexandria.

* crystal system: tetragonal
* E_tot: -30.401 eV/atom

CIF file:
```
data_Be2HIr2
_cell_length_a 4.2873
_cell_length_b 4.2873
_cell_length_c 5.6641
_cell_angle_alpha 90.00
_cell_angle_beta 90.00
_cell_angle_gamma 90.00
_symmetry_space_group_name_H-M 'I 4/m m m'
_symmetry_Int_Tables_number 139
_symmetry_space_group_name_Hall '-I 4 2'
loop_
_atom_site_label
_atom_site_fract_x
_atom_site_fract_y
_atom_site_fract_z
_atom_site_occupancy
Be1 0.0000 0.0000 0.1838 1
H1 0.0000 0.0000 0.5000 1
Ir1 0.0000 0.5000 0.2500 1
```

The following is a SCAN calculation of a crystal of Ru2PbSe relaxed with PBEsol, from Alexandria.

* crystal system: orthorhombic
* formation energy from raw total energies: 759 meV per atom
* relative energy among the computed polymorphs: 1.959 eV per formula unit

CIF file:
```
data_Ru2PbSe
_cell_length_a 3.0751
_cell_length_b 5.4799
_cell_length_c 8.3721
_cell_angle_alpha 90.00
_cell_angle_beta 90.00
_cell_angle_gamma 90.00
_symmetry_space_group_name_H-M 'C m m m'
_symmetry_Int_Tables_number 65
_symmetry_space_group_name_Hall '-C 2 2'
loop_
_atom_site_label
_atom_site_fract_x
_atom_site_fract_y
_atom_site_fract_z
_atom_site_occupancy
Ru1 0.0000 0.0000 0.2217 1
Pb1 0.0000 0.5000 0.5000 1
Se1 0.0000 0.5000 0.0000 1
```

The following is a SCAN calculation of a crystal of Mo2SeCl relaxed with PBEsol, from Alexandria.

* crystal system: monoclinic
* formation energy from raw total energies: 178 meV per atom
* relative energy among the computed polymorphs: 0.632 eV per formula unit

CIF file:
```
data_Mo2SeCl
_cell_length_a 8.7181
_cell_length_b 3.1880
_cell_length_c 5.7102
_cell_angle_alpha 90.00
_cell_angle_beta 99.73
_cell_angle_gamma 90.00
_symmetry_space_group_name_H-M 'C 1 m 1'
_symmetry_Int_Tables_number 8
loop_
_symmetry_equiv_pos_as_xyz
'x,y,z'
'x,-y,z'
'x+1/2,y+1/2,z'
'x+1/2,-y+1/2,z'
loop_
_atom_site_label
_atom_site_fract_x
_atom_site_fract_y
_atom_site_fract_z
_atom_site_occupancy
Mo1 0.0000 0.0000 0.0000 1
Mo2 0.2098 0.5000 0.1244 1
Se1 0.2482 0.0000 0.7862 1
Cl1 0.4661 0.0000 0.3509 1
```

The following is a SCAN calculation of a crystal of SrLi relaxed with PBEsol, from Alexandria.

* crystal system: orthorhombic
* energy of formation from the pure elements: 0.1 eV per formula unit
* relative energy among the computed polymorphs: 0.028 eV per formula unit

CIF file:
```
data_SrLi
_cell_length_a 4.1016
_cell_length_b 5.8812
_cell_length_c 12.1257
_cell_angle_alpha 90.00
_cell_angle_beta 90.00
_cell_angle_gamma 90.00
_symmetry_space_group_name_H-M 'I m m a'
_symmetry_Int_Tables_number 74
_symmetry_space_group_name_Hall '-I 2b 2'
loop_
_atom_site_label
_atom_site_fract_x
_atom_site_fract_y
_atom_site_fract_z
_atom_site_occupancy
Sr1 0.0000 0.2500 0.1055 1
Li1 0.0000 0.2500 0.6602 1
```

The following is a SCAN calculation of a crystal of LiYCr2H relaxed with PBEsol, from Alexandria.

* crystal system: tetragonal
* E_tot: -12.011 eV/atom

CIF file:
```
data_LiYCr2H
_cell_length_a 4.9239
_cell_length_b 4.9239
_cell_length_c 5.7226
_cell_angle_alpha 90.00
_cell_angle_beta 90.00
_cell_angle_gamma 90.00
_symmetry_space_group_name_H-M 'P 4/m m m'
_symmetry_Int_Tables_number 123
_symmetry_space_group_name_Hall '-P 4 2'
loop_
_atom_site_label
_atom_site_fract_x
_atom_site_fract_y
_atom_site_fract_z
_atom_site_occupancy
Li1 0.0000 0.0000 0.0000 1
Y1 0.0000 0.0000 0.5000 1
Cr1 0.0000 0.5000 0.5000 1
H1 0.5000 0.5000 0.0000 1
```

The following is a SCAN calculation of a crystal of Sm3Co8Sn4 relaxed with PBEsol, from Alexandria.

* crystal system: hexagonal
* energy of formation from the pure elements: -3.9 eV per formula unit

CIF file:
```
data_Sm3Co8Sn4
_cell_length_a 8.8094
_cell_length_b 8.8094
_cell_length_c 7.4030
_cell_angle_alpha 90.00
_cell_angle_beta 90.00
_cell_angle_gamma 120.00
_symmetry_space_group_name_H-M 'P 63 m c'
_symmetry_Int_Tables_number 186
_symmetry_space_group_name_Hall 'P 6c -2c'
loop_
_atom_site_label
_atom_site_fract_x
_atom_site_fract_y
_atom_site_fract_z
_atom_site_occupancy
Sm1 0.0590 0.5295 0.0000 1
Co1 0.0000 0.0000 0.2237 1
Co2 0.0958 0.1916 0.9786 1
Co3 0.1574 0.3147 0.6681 1
Co4 0.3333 0.6667 0.2934 1
Sn1 0.1701 0.3401 0.2978 1
Sn2 0.3333 0.6667 0.6635 1
```

The following is a SCAN calculation of a crystal of LiMn3Se relaxed with PBEsol, from Alexandria.

* crystal system: cubic
* formation energy from raw total energies: 522 meV per atom

CIF file:
```
data_LiMn3Se
_cell_length_a 4.2731
_cell_length_b 4.2731
_cell_length_c 4.2731
_cell_angle_alpha 90.00
_cell_angle_beta 90.00
_cell_angle_gamma 90.00
_symmetry_space_group_name_H-M 'P m -3 m'
_symmetry_Int_Tables_number 221
_symmetry_space_group_name_Hall '-P 4 2 3'
loop_
_atom_site_label
_atom_site_fract_x
_atom_site_fract_y
_atom_site_fract_z
_atom_site_occupancy
Li1 0.0000 0.0000 0.0000 1
Mn1 0.0000 0.0000 0.5000 1
Se1 0.5000 0.5000 0.5000 1
```

What did we get for DOS at the Fermi energy? Answer: 1.19, 5.45, 3.28, 2.37, 2.90, 3.26, 1.59, 2.81, 1.07, 0.61, 3.15, 3.06, 1.05, 2.35, 4.47, 2.96, 1.64, 5.40, 13.08, 1.17 states/eV/f.u., in the order shown.
What did we get for magnetization? Answer: 0.00, 0.00, 0.54, 4.22, 0.00, 0.00, 0.00, 0.02, 0.00, 0.00, 6.57, 0.00, 0.00, 0.00, 0.01, 0.00, 0.40, 8.18, 20.24, 11.81 μB/cell, in the order shown.